Entry 1:
A plane-wave DFT calculation with GGA-PBE was carried out for crystalline La2InBPt6 at its relaxed geometry.

Its formation energy is -0.87 eV/atom.

It has space group R-3m (No. 166, hexagonal axes), with a = 5.8194 Å, b = 5.8194 Å, c = 40.0184 Å, α = 90.00°, β = 90.00° and γ = 120.00°. The distinct sites, in fractional coordinates, are La at (0.0000, 0.0000, 0.1104), La at (0.0000, 0.0000, 0.2792), In at (0.0000, 0.0000, 0.4189), B at (0.0000, 0.0000, 0.0000), B at (0.0000, 0.0000, 0.5000), Pt at (0.0095, 0.5047, 0.3027) and Pt at (0.0221, 0.5111, 0.8635).

Entry 2:
A plane-wave DFT calculation with GGA-PBE was carried out for crystalline OsPt2Cl at its relaxed geometry.

As for the excess energy over the best structure of this formula in the dataset: 0.191 eV/atom. The formation energy without anion corrections is 0.49 eV per atom.

It has space group Pm (No. 6), with a = 2.757 Å, b = 3.416 Å, c = 7.875 Å, α = 90.00°, β = 99.58° and γ = 90.00°. The distinct sites, in fractional coordinates, are Os at (0.000, 0.000, 0.000), Pt at (0.290, 0.000, 0.557), Pt at (0.408, 0.500, 0.806) and Cl at (0.098, 0.500, 0.207).

Entry 3:
A plane-wave DFT calculation with GGA-PBE was carried out for crystalline LaMnN3 at its relaxed geometry.

The formation energy without anion corrections is -0.61 eV per atom.

It has space group C2 (No. 5), with a = 12.558 Å, b = 3.684 Å, c = 5.514 Å, α = 90.00°, β = 98.24° and γ = 90.00°. The distinct sites, in fractional coordinates, are La at (0.120, 0.000, 0.281), Mn at (0.090, 0.532, 0.771), N at (0.000, 0.498, 0.000), N at (0.000, 0.545, 0.500), N at (0.147, 0.041, 0.819) and N at (0.217, 0.855, 0.710).

Entry 4:
A plane-wave DFT calculation with GGA-PBE was carried out for crystalline CaGePd at its relaxed geometry.

Its formation energy is -0.79 eV/atom.

It has space group Imm2 (No. 44), with a = 4.433 Å, b = 7.242 Å, c = 7.587 Å, α = 90.00°, β = 90.00° and γ = 90.00°. The distinct sites, in fractional coordinates, are Ca at (0.000, 0.000, 0.000), Ca at (0.000, 0.500, 0.098), Ge at (0.000, 0.313, 0.715) and Pd at (0.000, 0.206, 0.387).

Entry 5:
A plane-wave DFT calculation with GGA-PBE was carried out for crystalline SrAc3Sn12 at its relaxed geometry.

Its formation energy is -0.48 eV/atom.

It has space group P4/mmm (No. 123), with a = 4.887 Å, b = 4.887 Å, c = 19.771 Å, α = 90.00°, β = 90.00° and γ = 90.00°. The distinct sites, in fractional coordinates, are Sr at (0.000, 0.000, 0.000), Ac at (0.000, 0.000, 0.249), Ac at (0.000, 0.000, 0.500), Sn at (0.000, 0.500, 0.122), Sn at (0.000, 0.500, 0.374), Sn at (0.500, 0.500, 0.000), Sn at (0.500, 0.500, 0.248) and Sn at (0.500, 0.500, 0.500).

Entry 6:
A plane-wave DFT calculation with GGA-PBE was carried out for crystalline La3PaSb4 at its relaxed geometry.

The formation energy without anion corrections is -1.05 eV per atom.

It has space group I4/mmm (No. 139), with a = 6.437 Å, b = 6.437 Å, c = 12.890 Å, α = 90.00°, β = 90.00° and γ = 90.00°. The distinct sites, in fractional coordinates, are La at (0.000, 0.000, 0.000), La at (0.000, 0.500, 0.250), Pa at (0.000, 0.000, 0.500), Sb at (0.000, 0.000, 0.259) and Sb at (0.000, 0.500, 0.000).

Entry 7:
A plane-wave DFT calculation with GGA-PBE was carried out for crystalline Al2Pd2Se at its relaxed geometry.

As for the excess energy over the best structure of this formula in the dataset: 0.000 eV/atom. The formation energy without anion corrections is -0.51 eV per atom.

It has space group P4/mbm (No. 127), with a = 7.504 Å, b = 7.504 Å, c = 2.887 Å, α = 90.00°, β = 90.00° and γ = 90.00°. The distinct sites, in fractional coordinates, are Al at (0.153, 0.347, 0.000), Pd at (0.141, 0.641, 0.500) and Se at (0.000, 0.000, 0.500).

Entry 8:
A plane-wave DFT calculation with GGA-PBE was carried out for crystalline PmY3Er6Sc2 at its relaxed geometry.

Its formation energy is 0.04 eV/atom.

It has space group C2/m (No. 12), with a = 6.054 Å, b = 10.473 Å, c = 11.596 Å, α = 90.00°, β = 99.98° and γ = 90.00°. The distinct sites, in fractional coordinates, are Pm at (0.000, 0.000, 0.000), Y at (0.000, 0.167, 0.500), Y at (0.000, 0.500, 0.500), Er at (0.246, 0.500, 0.245), Er at (0.250, 0.168, 0.245) and Sc at (0.000, 0.333, 0.000).

Entry 9:
A plane-wave DFT calculation with GGA-PBE was carried out for crystalline K2LaAsSe4 at its relaxed geometry.

The formation energy without anion corrections is -1.13 eV per atom.

It has space group Imma (No. 74), with a = 8.547 Å, b = 8.973 Å, c = 12.385 Å, α = 90.00°, β = 90.00° and γ = 90.00°. The distinct sites, in fractional coordinates, are K at (0.000, 0.000, 0.000), K at (0.250, 0.250, 0.250), La at (0.000, 0.000, 0.500), As at (0.250, 0.250, 0.750), Se at (0.000, 0.043, 0.743) and Se at (0.233, 0.250, 0.523).

Entry 10:
A plane-wave DFT calculation with GGA-PBE was carried out for crystalline Rb3SrC2O6 at its relaxed geometry.

The formation energy without anion corrections is -1.77 eV per atom.

It has space group P-3m1 (No. 164), with a = 5.7681 Å, b = 5.7681 Å, c = 9.8445 Å, α = 90.00°, β = 90.00° and γ = 120.00°. The distinct sites, in fractional coordinates, are Rb at (0.0000, 0.0000, 0.0000), Rb at (0.3333, 0.6667, 0.7100), Sr at (0.0000, 0.0000, 0.5000), C at (0.3333, 0.6667, 0.3515) and O at (0.2028, 0.4057, 0.3512).

Entry 11:
A plane-wave DFT calculation with GGA-PBE was carried out for crystalline Y2AsBr at its relaxed geometry.

The formation energy without anion corrections is -0.17 eV per atom.

It has space group F-43m (No. 216), with a = 7.396 Å, b = 7.396 Å, c = 7.396 Å, α = 90.00°, β = 90.00° and γ = 90.00°. The distinct sites, in fractional coordinates, are Y at (0.000, 0.000, 0.000), Y at (0.250, 0.250, 0.250), As at (0.000, 0.000, 0.500) and Br at (0.250, 0.250, 0.750).

Entry 12:
A plane-wave DFT calculation with GGA-PBE was carried out for crystalline CsErTlO3 at its relaxed geometry.

The formation energy without anion corrections is -1.97 eV per atom.

It has space group P2_1/m (No. 11), with a = 7.521 Å, b = 3.543 Å, c = 11.051 Å, α = 90.00°, β = 102.34° and γ = 90.00°. The distinct sites, in fractional coordinates, are Cs at (0.040, 0.250, 0.322), Er at (0.469, 0.250, 0.623), Tl at (0.446, 0.750, 0.881), O at (0.291, 0.250, 0.778), O at (0.340, 0.750, 0.506) and O at (0.390, 0.250, 0.261).

Entry 13:
A plane-wave DFT calculation with GGA-PBE was carried out for crystalline OsI2O at its relaxed geometry.

The formation energy without anion corrections is 1.05 eV per atom.

It has space group Fm-3m (No. 225), with a = 6.543 Å, b = 6.543 Å, c = 6.543 Å, α = 90.00°, β = 90.00° and γ = 90.00°. The distinct sites, in fractional coordinates, are Os at (0.000, 0.000, 0.000), I at (0.250, 0.250, 0.250) and O at (0.000, 0.000, 0.500).

Entry 14:
A plane-wave DFT calculation with GGA-PBE was carried out for crystalline PuInGaAg at its relaxed geometry.

Its formation energy is -0.16 eV/atom.

It has space group F-43m (No. 216), with a = 7.048 Å, b = 7.048 Å, c = 7.048 Å, α = 90.00°, β = 90.00° and γ = 90.00°. The distinct sites, in fractional coordinates, are Pu at (0.000, 0.000, 0.000), In at (0.000, 0.000, 0.500), Ga at (0.250, 0.250, 0.750) and Ag at (0.250, 0.250, 0.250).

Entry 15:
A plane-wave DFT calculation with GGA-PBE was carried out for crystalline Ac12ZnGe6 at its relaxed geometry.

Its formation energy is -0.38 eV/atom.

It has space group R-3 (No. 148, hexagonal axes), with a = 14.2264 Å, b = 14.2264 Å, c = 12.6737 Å, α = 90.00°, β = 90.00° and γ = 120.00°. The distinct sites, in fractional coordinates, are Ac at (0.0286, 0.2020, 0.3853), Ac at (0.0444, 0.2129, 0.8857), Zn at (0.0000, 0.0000, 0.0000) and Ge at (0.0391, 0.2632, 0.6450).

Entry 16:
A plane-wave DFT calculation with GGA-PBE was carried out for crystalline GdGaRu at its relaxed geometry.

Its formation energy is -0.44 eV/atom.

It has space group P-6m2 (No. 187), with a = 4.3595 Å, b = 4.3595 Å, c = 3.6911 Å, α = 90.00°, β = 90.00° and γ = 120.00°. The distinct sites, in fractional coordinates, are Gd at (0.0000, 0.0000, 0.0000), Ga at (0.3333, 0.6667, 0.5000) and Ru at (0.6667, 0.3333, 0.5000).

Entry 17:
A plane-wave DFT calculation with GGA-PBE was carried out for crystalline Sm2NpTcN5 at its relaxed geometry.

The formation energy without anion corrections is -0.99 eV per atom.

It has space group Cmc2_1 (No. 36), with a = 3.462 Å, b = 13.679 Å, c = 10.383 Å, α = 90.00°, β = 90.00° and γ = 90.00°. The distinct sites, in fractional coordinates, are Sm at (0.000, 0.106, 0.000), Sm at (0.000, 0.137, 0.621), Np at (0.000, 0.208, 0.327), Tc at (0.000, 0.476, 0.775), N at (0.000, 0.044, 0.358), N at (0.000, 0.282, 0.964), N at (0.000, 0.320, 0.699), N at (0.000, 0.368, 0.314) and N at (0.000, 0.491, 0.096).

Entry 18:
A plane-wave DFT calculation with GGA-PBE was carried out for crystalline Cr2GeS at its relaxed geometry.

As for the excess energy over the best structure of this formula in the dataset: 0.000 eV/atom. The formation energy without anion corrections is 0.18 eV per atom.

It has space group Fm-3m (No. 225), with a = 5.908 Å, b = 5.908 Å, c = 5.908 Å, α = 90.00°, β = 90.00° and γ = 90.00°. The distinct sites, in fractional coordinates, are Cr at (0.250, 0.250, 0.250), Ge at (0.000, 0.000, 0.000) and S at (0.000, 0.000, 0.500).

Entry 19:
A plane-wave DFT calculation with GGA-PBE was carried out for crystalline TcF3 at its relaxed geometry.

As for the excess energy over the best structure of this formula in the dataset: 0.429 eV/atom. The formation energy without anion corrections is -1.02 eV per atom.

It has space group Fm-3m (No. 225), with a = 5.484 Å, b = 5.484 Å, c = 5.484 Å, α = 90.00°, β = 90.00° and γ = 90.00°. The distinct sites, in fractional coordinates, are Tc at (0.000, 0.000, 0.000), F at (0.000, 0.000, 0.500) and F at (0.250, 0.250, 0.250).

Entry 20:
A plane-wave DFT calculation with GGA-PBE was carried out for crystalline BaScHg at its relaxed geometry.

Its formation energy is 0.02 eV/atom. As for the excess energy over the best structure of this formula in the dataset: 0.301 eV/atom.

It has space group P3m1 (No. 156), with a = 3.8521 Å, b = 3.8521 Å, c = 7.8480 Å, α = 90.00°, β = 90.00° and γ = 120.00°. The distinct sites, in fractional coordinates, are Ba at (0.0000, 0.0000, 0.0000), Sc at (0.3333, 0.6667, 0.5942) and Hg at (0.6667, 0.3333, 0.3513).